Arrangement a

! CsCrFe3 PBE-GGA optimized geometry; values from VASP
! DOS at the Fermi energy ... 5.6 states/eV per cell
! Density ... 5.48 Mg/m³
&SYSTEM
  ibrav = 0, nat = 5, ntyp = 3
/
ATOMIC_SPECIES
Cs 132.91 Cs.upf
Cr 52.00 Cr.upf
Fe 55.84 Fe.upf
CELL_PARAMETERS angstrom
4.7456 0.0000 0.0000
0.0000 4.7456 0.0000
0.0000 0.0000 4.7456
ATOMIC_POSITIONS angstrom
Cs 0.0000 0.0000 0.0000
Cr 2.3728 2.3728 2.3728
Fe 0.0000 2.3728 2.3728
Fe 2.3728 0.0000 2.3728
Fe 2.3728 2.3728 0.0000

---

Arrangement b

! CsCrFe3 PBE-GGA optimized geometry; values from VASP
! DOS at the Fermi energy ... 4.2 states/eV per cell
! Density ... 5.47 Mg/m³
&SYSTEM
  ibrav = 0, nat = 5, ntyp = 3
/
ATOMIC_SPECIES
Cs 132.91 Cs.upf
Cr 52.00 Cr.upf
Fe 55.84 Fe.upf
CELL_PARAMETERS angstrom
4.7487 0.0000 0.0000
0.0000 4.7487 0.0000
0.0000 0.0000 4.7487
ATOMIC_POSITIONS angstrom
Cs 0.0000 0.0000 0.0000
Cr 2.3744 2.3744 2.3744
Fe 0.0000 0.0000 2.3744
Fe 0.0000 2.3744 0.0000
Fe 2.3744 0.0000 0.0000

---

Which is most stable, and by how much? arrangement a, by 1218 meV/atom.

---

Arrangement a

! CsHf2Cr PBE-GGA optimized geometry; values from VASP
! DOS at the Fermi energy ... 20.7 states/eV per cell
! Density ... 9.65 Mg/m³
&SYSTEM
  ibrav = 0, nat = 16, ntyp = 3
/
ATOMIC_SPECIES
Cs 132.91 Cs.upf
Hf 178.49 Hf.upf
Cr 52.00 Cr.upf
CELL_PARAMETERS angstrom
7.1974 0.0000 0.0000
0.0000 7.1974 0.0000
0.0000 0.0000 7.1974
ATOMIC_POSITIONS angstrom
Cs 0.0000 0.0000 0.0000
Cs 0.0000 3.5987 3.5987
Cs 3.5987 0.0000 3.5987
Cs 3.5987 3.5987 0.0000
Hf 1.7994 1.7994 1.7994
Hf 1.7994 1.7994 5.3981
Hf 1.7994 5.3981 1.7994
Hf 1.7994 5.3981 5.3981
Hf 5.3981 1.7994 1.7994
Hf 5.3981 1.7994 5.3981
Hf 5.3981 5.3981 1.7994
Hf 5.3981 5.3981 5.3981
Cr 0.0000 0.0000 3.5987
Cr 0.0000 3.5987 0.0000
Cr 3.5987 0.0000 0.0000
Cr 3.5987 3.5987 3.5987

---

Arrangement b

! CsHf2Cr PBE-GGA optimized geometry; values from VASP
! DOS at the Fermi energy ... 5.8 states/eV per cell
! Density ... 6.00 Mg/m³
&SYSTEM
  ibrav = 0, nat = 8, ntyp = 3
/
ATOMIC_SPECIES
Cs 132.91 Cs.upf
Hf 178.49 Hf.upf
Cr 52.00 Cr.upf
CELL_PARAMETERS angstrom
0.0000 5.3126 5.3126
5.3126 0.0000 5.3126
5.3126 5.3126 0.0000
ATOMIC_POSITIONS angstrom
Cs 1.3282 1.3282 1.3282
Cs 9.2971 9.2971 9.2971
Hf 5.3126 2.6563 2.6563
Hf 2.6563 5.3126 2.6563
Hf 2.6563 2.6563 5.3126
Hf 5.3126 5.3126 5.3126
Cr 3.9845 3.9845 3.9845
Cr 6.6408 6.6408 6.6408

---

Which is most stable, and by how much? arrangement b, by 122 meV/atom.

---

Arrangement a

! CsCrHg3 PBE-GGA optimized geometry; values from VASP
! DOS at the Fermi energy ... 2.6 states/eV per cell
! Density ... 7.69 Mg/m³
&SYSTEM
  ibrav = 0, nat = 5, ntyp = 3
/
ATOMIC_SPECIES
Cs 132.91 Cs.upf
Cr 52.00 Cr.upf
Hg 200.59 Hg.upf
CELL_PARAMETERS angstrom
5.5374 0.0000 0.0000
0.0000 5.5374 0.0000
0.0000 0.0000 5.5374
ATOMIC_POSITIONS angstrom
Cs 0.0000 0.0000 0.0000
Cr 2.7687 2.7687 2.7687
Hg 0.0000 2.7687 2.7687
Hg 2.7687 0.0000 2.7687
Hg 2.7687 2.7687 0.0000

---

Arrangement b

! CsCrHg3 PBE-GGA optimized geometry; values from VASP
! DOS at the Fermi energy ... 1.9 states/eV per cell
! Density ... 4.05 Mg/m³
&SYSTEM
  ibrav = 0, nat = 5, ntyp = 3
/
ATOMIC_SPECIES
Cs 132.91 Cs.upf
Cr 52.00 Cr.upf
Hg 200.59 Hg.upf
CELL_PARAMETERS angstrom
6.8584 0.0000 0.0000
0.0000 6.8584 0.0000
0.0000 0.0000 6.8584
ATOMIC_POSITIONS angstrom
Cs 0.0000 0.0000 0.0000
Cr 3.4292 3.4292 3.4292
Hg 0.0000 0.0000 3.4292
Hg 0.0000 3.4292 0.0000
Hg 3.4292 0.0000 0.0000

---

Which is most stable, and by how much? arrangement a, by 726 meV/atom.

---

Arrangement a

! Cs2CrI4 PBE-GGA optimized geometry; values from VASP
! DOS at the Fermi energy ... 0.4 states/eV per cell
! Density ... 4.25 Mg/m³
&SYSTEM
  ibrav = 0, nat = 14, ntyp = 3
/
ATOMIC_SPECIES
Cs 132.91 Cs.upf
Cr 52.00 Cr.upf
I 126.90 I.upf
CELL_PARAMETERS angstrom
5.8537 0.0000 0.0000
0.0000 5.8537 0.0000
0.0000 0.0000 18.8217
ATOMIC_POSITIONS angstrom
Cs 0.0000 0.0000 2.6277
Cs 0.0000 0.0000 16.1940
Cs 2.9269 2.9269 6.7832
Cs 2.9269 2.9269 12.0385
Cr 0.0000 0.0000 9.4108
Cr 2.9269 2.9269 0.0000
I 0.0000 0.0000 6.5853
I 0.0000 0.0000 12.2364
I 0.0000 2.9269 0.0000
I 0.0000 2.9269 9.4108
I 2.9269 0.0000 0.0000
I 2.9269 0.0000 9.4108
I 2.9269 2.9269 2.8255
I 2.9269 2.9269 15.9962

---

Arrangement b

! Cs2CrI4 PBE-GGA optimized geometry; values from VASP
! DOS at the Fermi energy ... 11.5 states/eV per cell
! Density ... 3.87 Mg/m³
&SYSTEM
  ibrav = 0, nat = 14, ntyp = 3
/
ATOMIC_SPECIES
Cs 132.91 Cs.upf
Cr 52.00 Cr.upf
I 126.90 I.upf
CELL_PARAMETERS angstrom
8.0053 0.0000 0.0000
0.0000 8.3637 0.0000
-3.9838 0.0000 10.5859
ATOMIC_POSITIONS angstrom
Cs 1.4713 2.0909 0.4697
Cs 0.0162 2.0909 6.1315
Cs 4.0053 6.2728 4.4545
Cs 2.5502 6.2728 10.1162
Cr -1.4876 6.2728 8.3650
Cr 5.5091 2.0909 2.2210
I -0.9927 4.2276 2.8733
I -0.9927 8.3180 2.8733
I 2.5987 6.2728 0.4878
I 0.6334 6.2728 6.6935
I 3.3881 2.0909 3.8924
I 1.4228 2.0909 10.0981
I 5.0142 0.0458 7.7126
I 5.0142 4.1361 7.7126

---

Which is most stable, and by how much? arrangement a, by 45 meV/atom.

---

Arrangement a

! CsCr2I2 PBE-GGA optimized geometry; values from VASP
! DOS at the Fermi energy ... 9.5 states/eV per cell
! Density ... 5.08 Mg/m³
&SYSTEM
  ibrav = 0, nat = 10, ntyp = 3
/
ATOMIC_SPECIES
Cs 132.91 Cs.upf
Cr 52.00 Cr.upf
I 126.90 I.upf
CELL_PARAMETERS angstrom
5.6526 0.0000 0.0000
0.0000 5.6526 0.0000
0.0000 0.0000 10.0408
ATOMIC_POSITIONS angstrom
Cs 0.0000 0.0000 0.0000
Cs 2.8263 2.8263 5.0204
Cr 0.0000 0.0000 4.1609
Cr 0.0000 0.0000 5.8799
Cr 2.8263 2.8263 0.8595
Cr 2.8263 2.8263 9.1812
I 0.0000 2.8263 2.5102
I 0.0000 2.8263 7.5306
I 2.8263 0.0000 2.5102
I 2.8263 0.0000 7.5306

---

Arrangement b

! CsCr2I2 PBE-GGA optimized geometry; values from VASP
! DOS at the Fermi energy ... 8.2 states/eV per cell
! Density ... 4.11 Mg/m³
&SYSTEM
  ibrav = 0, nat = 10, ntyp = 3
/
ATOMIC_SPECIES
Cs 132.91 Cs.upf
Cr 52.00 Cr.upf
I 126.90 I.upf
CELL_PARAMETERS angstrom
9.1236 0.0000 0.0000
0.0000 9.1236 0.0000
0.0000 0.0000 4.7612
ATOMIC_POSITIONS angstrom
Cs 0.0000 0.0000 0.0000
Cs 4.5618 4.5618 0.0000
Cr 0.6177 3.9442 0.0000
Cr 3.9442 8.5060 0.0000
Cr 5.1795 0.6177 0.0000
Cr 8.5060 5.1795 0.0000
I 1.4327 3.1291 2.3806
I 3.1291 7.6909 2.3806
I 5.9945 1.4327 2.3806
I 7.6909 5.9945 2.3806

---

Which is most stable, and by how much? arrangement b, by 56 meV/atom.

---

Arrangement a

! Cs2SrCrI6 PBE-GGA optimized geometry; values from VASP
! DOS at the Fermi energy ... 6.7 states/eV per cell
! Density ... 4.23 Mg/m³
&SYSTEM
  ibrav = 0, nat = 10, ntyp = 4
/
ATOMIC_SPECIES
Cs 132.91 Cs.upf
Sr 87.62 Sr.upf
Cr 52.00 Cr.upf
I 126.90 I.upf
CELL_PARAMETERS angstrom
0.0000 6.1199 6.1199
6.1199 0.0000 6.1199
6.1199 6.1199 0.0000
ATOMIC_POSITIONS angstrom
Cs 3.0600 3.0600 3.0600
Cs 9.1799 9.1799 9.1799
Sr 0.0000 0.0000 0.0000
Cr 6.1199 6.1199 6.1199
I 6.1199 6.1199 3.2436
I 6.1199 3.2436 6.1199
I 8.9963 6.1199 6.1199
I 3.2436 6.1199 6.1199
I 6.1199 8.9963 6.1199
I 6.1199 6.1199 8.9963

---

Arrangement b

! Cs2SrCrI6 PBE-GGA optimized geometry; values from VASP
! DOS at the Fermi energy ... 4.9 states/eV per cell
! Density ... 4.03 Mg/m³
&SYSTEM
  ibrav = 0, nat = 10, ntyp = 4
/
ATOMIC_SPECIES
Cs 132.91 Cs.upf
Sr 87.62 Sr.upf
Cr 52.00 Cr.upf
I 126.90 I.upf
CELL_PARAMETERS angstrom
8.4758 0.0000 0.0000
-4.2379 7.3403 0.0000
0.0000 0.0000 7.7221
ATOMIC_POSITIONS angstrom
Cs 0.0000 4.8935 2.3649
Cs 4.2379 2.4468 5.3572
Sr 0.0000 0.0000 0.0000
Cr 0.0000 0.0000 3.8610
I 0.0000 2.4002 5.5320
I -2.1592 6.1402 5.5320
I 2.0787 1.2001 2.1901
I 2.1592 6.1402 5.5320
I 6.3972 1.2001 2.1901
I 4.2379 4.9400 2.1901

---

Which is most stable, and by how much? arrangement b, by 27 meV/atom.

---

Arrangement a

! CsCrIr3 PBE-GGA optimized geometry; values from VASP
! DOS at the Fermi energy ... 11.1 states/eV per cell
! Density ... 10.26 Mg/m³
&SYSTEM
  ibrav = 0, nat = 5, ntyp = 3
/
ATOMIC_SPECIES
Cs 132.91 Cs.upf
Cr 52.00 Cr.upf
Ir 192.22 Ir.upf
CELL_PARAMETERS angstrom
4.9761 0.0000 0.0000
0.0000 4.9761 0.0000
0.0000 0.0000 4.9761
ATOMIC_POSITIONS angstrom
Cs 0.0000 0.0000 0.0000
Cr 2.4880 2.4880 2.4880
Ir 0.0000 0.0000 2.4880
Ir 0.0000 2.4880 0.0000
Ir 2.4880 0.0000 0.0000

---

Arrangement b

! CsCrIr3 PBE-GGA optimized geometry; values from VASP
! DOS at the Fermi energy ... 4.0 states/eV per cell
! Density ... 12.16 Mg/m³
&SYSTEM
  ibrav = 0, nat = 5, ntyp = 3
/
ATOMIC_SPECIES
Cs 132.91 Cs.upf
Cr 52.00 Cr.upf
Ir 192.22 Ir.upf
CELL_PARAMETERS angstrom
4.7031 0.0000 0.0000
0.0000 4.7031 0.0000
0.0000 0.0000 4.7031
ATOMIC_POSITIONS angstrom
Cs 0.0000 0.0000 0.0000
Cr 2.3515 2.3515 2.3515
Ir 0.0000 2.3515 2.3515
Ir 2.3515 0.0000 2.3515
Ir 2.3515 2.3515 0.0000

---

Which is most stable, and by how much? arrangement b, by 1807 meV/atom.

---

Arrangement a

! CsLaCr3 PBE-GGA optimized geometry; values from VASP
! DOS at the Fermi energy ... 20.8 states/eV per cell
! Density ... 5.98 Mg/m³
&SYSTEM
  ibrav = 0, nat = 5, ntyp = 3
/
ATOMIC_SPECIES
Cs 132.91 Cs.upf
La 138.91 La.upf
Cr 52.00 Cr.upf
CELL_PARAMETERS angstrom
4.9160 0.0000 0.0000
0.0000 4.9160 0.0000
0.0000 0.0000 4.9160
ATOMIC_POSITIONS angstrom
Cs 0.0000 0.0000 0.0000
La 2.4580 2.4580 2.4580
Cr 0.0000 2.4580 2.4580
Cr 2.4580 0.0000 2.4580
Cr 2.4580 2.4580 0.0000

---

Arrangement b

! CsLaCr3 PBE-GGA optimized geometry; values from VASP
! DOS at the Fermi energy ... 1.1 states/eV per cell
! Density ... 5.15 Mg/m³
&SYSTEM
  ibrav = 0, nat = 5, ntyp = 3
/
ATOMIC_SPECIES
Cs 132.91 Cs.upf
La 138.91 La.upf
Cr 52.00 Cr.upf
CELL_PARAMETERS angstrom
5.1684 0.0000 0.0000
0.0000 5.1684 0.0000
0.0000 0.0000 5.1684
ATOMIC_POSITIONS angstrom
Cs 0.0000 0.0000 0.0000
La 2.5842 2.5842 2.5842
Cr 0.0000 0.0000 2.5842
Cr 0.0000 2.5842 0.0000
Cr 2.5842 0.0000 0.0000

---

Which is most stable, and by how much? arrangement b, by 478 meV/atom.